ZnPbSeO PBE optimized geometry; final energy = -3.71 eV per atom; space group = P4/nmm, No. 129; ΔE to the lowest computed polymorph = 561.2 meV per atom
1.0
4.302 0.000 0.000
0.000 4.302 0.000
0.000 0.000 9.842
Zn Pb Se O
2 2 2 2
Cartesian
1.076 1.076 0.143
3.227 3.227 9.700
1.076 3.227 4.921
3.227 1.076 4.921
1.076 1.076 2.798
3.227 3.227 7.044
1.076 3.227 0.000
3.227 1.076 0.000